Record 1
Computed, not measured: an optimized crystal structure of PrInGa4 at the GGA-PBE level of DFT.

Summary:
Formation energy ... -0.300 eV/atom
Calculated volume ... 130.1 Å³ per cell
Raw total energy ... -3.571 eV/atom

abc: 4.4993 4.8610 6.3613
angles: 90.00 110.71 90.00
Last column: nearest neighbours and their distance in Å.
Positions (direct):
Ga (0.1919, 0.5000, 0.3838)  4 Ga 2.64-2.88
Ga (0.8081, 0.5000, 0.6162)  4 Ga 2.64-2.88
Ga (0.3216, 0.0000, 0.6432)  4 Ga 2.82-2.88, 2 In 3.09
Ga (0.6784, 0.0000, 0.3568)  4 Ga 2.82-2.88, 2 In 3.09
Pr (0.5000, 0.5000, 0.0000)  8 Ga 3.21-3.23, 4 In 3.31
In (0.0000, 0.0000, 0.0000)  8 Ga 3.09-3.33, 4 Pr 3.31

***

Record 2
Computed, not measured: an optimized crystal structure of Pr12In6Ga at the GGA-PBE level of DFT.

Summary:
Formation energy ... -0.270 eV/atom
Calculated volume ... 605.1 Å³ per cell
Raw total energy ... -4.313 eV/atom

abc: 8.4653 8.4653 8.4653
angles: 92.34 92.34 92.34
Last column: nearest neighbours and their distance in Å.
Positions (direct):
In (0.7059, 0.8704, 0.2647)  8 Pr 3.29-3.52, 1 Ga 3.59
In (0.2647, 0.7059, 0.8704)  8 Pr 3.29-3.52, 1 Ga 3.59
In (0.8704, 0.2647, 0.7059)  8 Pr 3.29-3.52, 1 Ga 3.59
In (0.7353, 0.2941, 0.1296)  8 Pr 3.29-3.52, 1 Ga 3.59
In (0.2941, 0.1296, 0.7353)  8 Pr 3.29-3.52, 1 Ga 3.59
In (0.1296, 0.7353, 0.2941)  8 Pr 3.29-3.52, 1 Ga 3.59
Pr (0.0153, 0.1109, 0.3499)  1 Ga 3.07, 1 Pr 3.23, 3 In 3.29-3.42
Pr (0.8080, 0.5441, 0.4411)  4 In 3.32-3.41, 4 Pr 3.48-3.59
Pr (0.1920, 0.4559, 0.5589)  4 In 3.32-3.41, 4 Pr 3.48-3.59
Pr (0.6501, 0.9847, 0.8891)  1 Ga 3.07, 1 Pr 3.23, 3 In 3.29-3.42
Pr (0.9847, 0.8891, 0.6501)  1 Ga 3.07, 1 Pr 3.23, 3 In 3.29-3.42
Pr (0.5589, 0.1920, 0.4559)  4 In 3.32-3.41, 4 Pr 3.48-3.59
Pr (0.4411, 0.8080, 0.5441)  4 In 3.32-3.41, 4 Pr 3.48-3.59
Pr (0.3499, 0.0153, 0.1109)  1 Ga 3.07, 1 Pr 3.23, 3 In 3.29-3.42
Pr (0.5441, 0.4411, 0.8080)  4 In 3.32-3.41, 4 Pr 3.48-3.59
Pr (0.4559, 0.5589, 0.1920)  4 In 3.32-3.41, 4 Pr 3.48-3.59
Pr (0.1109, 0.3499, 0.0153)  1 Ga 3.07, 1 Pr 3.23, 3 In 3.29-3.42
Pr (0.8891, 0.6501, 0.9847)  1 Ga 3.07, 1 Pr 3.23, 3 In 3.29-3.42
Ga (0.0000, 0.0000, 0.0000)  6 Pr 3.07

***

Record 3
Computed, not measured: an optimized crystal structure of Pr4In5Ga2 at the GGA-PBE level of DFT.

Summary:
Formation energy ... -0.473 eV/atom
Calculated volume ... 300.0 Å³ per cell
Raw total energy ... -4.006 eV/atom

abc: 3.7590 7.9830 10.0305
angles: 94.73 90.00 90.00
Last column: nearest neighbours and their distance in Å.
Positions (direct):
In (0.0000, 0.5000, 0.0000)  4 In 3.07-3.12, 4 Pr 3.36
In (0.0000, 0.1799, 0.1580)  1 Ga 3.00, 2 In 3.12-3.24
In (0.0000, 0.8201, 0.8420)  1 Ga 3.00, 2 In 3.12-3.24
In (0.0000, 0.5559, 0.3063)  2 In 3.07-3.24, 1 Ga 3.07, 4 Pr 3.38-3.42
In (0.0000, 0.4441, 0.6937)  2 In 3.07-3.24, 1 Ga 3.07, 4 Pr 3.38-3.42
Pr (0.5000, 0.7422, 0.5627)  4 Ga 3.18-3.19, 6 In 3.38-3.42
Pr (0.5000, 0.1768, 0.8712)  2 Ga 3.16, 8 In 3.36-3.45
Pr (0.5000, 0.2578, 0.4373)  4 Ga 3.18-3.19, 6 In 3.38-3.42
Pr (0.5000, 0.8232, 0.1288)  2 Ga 3.16, 8 In 3.36-3.45
Ga (0.0000, 0.0618, 0.6280)  1 Ga 2.67
Ga (0.0000, 0.9382, 0.3720)  1 Ga 2.67

***

Record 4
Computed, not measured: an optimized crystal structure of Pr3InGa2 at the GGA-PBE level of DFT.

Summary:
Formation energy ... -0.523 eV/atom
Calculated volume ... 163.0 Å³ per cell
Raw total energy ... -4.378 eV/atom

abc: 3.7644 3.7644 11.5006
angles: 90.00 90.00 90.00
Last column: nearest neighbours and their distance in Å.
Positions (direct):
Ga (0.5000, 0.5000, 0.1606)  8 Pr 3.24
Ga (0.5000, 0.5000, 0.8394)  8 Pr 3.24
Pr (0.0000, 0.0000, 0.3205)  4 Ga 3.24, 4 In 3.37
Pr (0.0000, 0.0000, 0.6795)  4 Ga 3.24, 4 In 3.37
Pr (0.0000, 0.0000, 0.0000)  8 Ga 3.24
In (0.5000, 0.5000, 0.5000)  8 Pr 3.37, 4 In 3.76

***

Record 5
Computed, not measured: an optimized crystal structure of Pr6In3Ga at the GGA-PBE level of DFT.

Summary:
Formation energy ... -0.296 eV/atom
Calculated volume ... 633.9 Å³ per cell
Raw total energy ... -4.288 eV/atom

abc: 3.7692 11.8834 14.7399
angles: 106.23 90.00 90.00
Last column: nearest neighbours and their distance in Å.
Positions (direct):
Pr (0.2500, 0.4920, 0.3202)  4 In 3.21-3.44, 2 Pr 3.54
Pr (0.2500, 0.6077, 0.9179)  4 In 3.25-3.34
Pr (0.2500, 0.8775, 0.5430)  2 Ga 3.04, 2 In 3.38
Pr (0.7500, 0.8272, 0.7636)  1 Ga 3.12, 2 In 3.33
Pr (0.7500, 0.7486, 0.3328)  2 Ga 3.18, 3 In 3.31-3.34, 3 Pr 3.50-3.54
Pr (0.7500, 0.8637, 0.1388)  2 Ga 3.20, 5 In 3.39-3.50, 1 Pr 3.50
Pr (0.7500, 0.3923, 0.0821)  4 In 3.25-3.34
Pr (0.7500, 0.1225, 0.4570)  2 Ga 3.04, 2 In 3.38
Pr (0.7500, 0.5080, 0.6798)  4 In 3.21-3.44, 2 Pr 3.54
Pr (0.2500, 0.2514, 0.6672)  2 Ga 3.18, 3 In 3.31-3.34, 3 Pr 3.50-3.54
Pr (0.2500, 0.1728, 0.2364)  1 Ga 3.12, 2 In 3.33
Pr (0.2500, 0.1363, 0.8612)  2 Ga 3.20, 5 In 3.39-3.50, 1 Pr 3.50
In (0.7500, 0.3757, 0.8559)  8 Pr 3.25-3.43
In (0.7500, 0.1016, 0.0426)  2 In 3.04, 5 Pr 3.33-3.39
In (0.2500, 0.6243, 0.1441)  8 Pr 3.25-3.43
In (0.2500, 0.8984, 0.9574)  2 In 3.04, 5 Pr 3.33-3.39
In (0.7500, 0.6339, 0.5133)  6 Pr 3.21-3.44
In (0.2500, 0.3661, 0.4867)  6 Pr 3.21-3.44
Ga (0.7500, 0.0410, 0.6802)  7 Pr 3.04-3.20
Ga (0.2500, 0.9590, 0.3198)  7 Pr 3.04-3.20

***

Record 6
Computed, not measured: an optimized crystal structure of Pr3InGa3 at the GGA-PBE level of DFT.

Summary:
Formation energy ... -0.572 eV/atom
Calculated volume ... 366.5 Å³ per cell
Raw total energy ... -4.308 eV/atom

abc: 4.5539 6.2211 14.1006
angles: 84.25 80.71 68.53
Last column: nearest neighbours and their distance in Å.
Positions (direct):
In (0.2301, 0.9353, 0.6045)  4 Ga 2.79-2.92
In (0.7699, 0.0647, 0.3955)  4 Ga 2.79-2.92
Ga (0.1230, 0.3007, 0.4533)  1 Ga 2.70, 3 In 2.79-2.92
Ga (0.9827, 0.8136, 0.2210)  1 Ga 2.65, 1 In 2.89
Ga (0.8976, 0.1284, 0.0764)  2 Ga 2.65
Ga (0.0173, 0.1864, 0.7790)  1 Ga 2.65, 1 In 2.89
Ga (0.1024, 0.8716, 0.9236)  2 Ga 2.65
Ga (0.8770, 0.6993, 0.5467)  1 Ga 2.70, 3 In 2.79-2.92
Pr (0.2645, 0.2503, 0.2207)  6 Ga 3.14-3.40, 2 In 3.47
Pr (0.6114, 0.7066, 0.0707)  7 Ga 3.17-3.34
Pr (0.4880, 0.6518, 0.3722)  6 Ga 3.21-3.35, 3 In 3.33-3.40
Pr (0.5120, 0.3482, 0.6278)  6 Ga 3.21-3.35, 3 In 3.33-3.40
Pr (0.3886, 0.2934, 0.9293)  7 Ga 3.17-3.34
Pr (0.7355, 0.7497, 0.7793)  6 Ga 3.14-3.40, 2 In 3.47

***

Record 7
Computed, not measured: an optimized crystal structure of Pr7In3Ga at the GGA-PBE level of DFT.

Summary:
Formation energy ... -0.257 eV/atom
Calculated volume ... 348.0 Å³ per cell
Raw total energy ... -4.321 eV/atom

abc: 5.9023 8.2883 8.2883
angles: 91.92 110.87 110.87
Last column: nearest neighbours and their distance in Å.
Positions (direct):
Pr (0.8132, 0.8136, 0.8136)  1 Ga 3.10, 2 In 3.33, 2 Pr 3.44
Pr (0.6659, 0.4042, 0.9278)  4 In 3.28-3.38, 4 Pr 3.29-3.44, 1 Ga 3.53
Pr (0.1868, 0.1864, 0.1864)  1 Ga 3.10, 2 In 3.33, 2 Pr 3.44
Pr (0.0000, 0.5000, 0.5000)  2 Ga 2.95, 2 In 3.19
Pr (0.6659, 0.9278, 0.4042)  4 In 3.28-3.38, 4 Pr 3.29-3.44, 1 Ga 3.53
Pr (0.3341, 0.5958, 0.0722)  4 In 3.28-3.38, 4 Pr 3.29-3.44, 1 Ga 3.53
Pr (0.3341, 0.0722, 0.5958)  4 In 3.28-3.38, 4 Pr 3.29-3.44, 1 Ga 3.53
Ga (0.5000, 0.5000, 0.5000)  4 Pr 2.95-3.10
In (0.5000, 0.0000, 0.0000)  8 Pr 3.28-3.48
In (0.0000, 0.7674, 0.2326)  9 Pr 3.19-3.38
In (0.0000, 0.2326, 0.7674)  9 Pr 3.19-3.38

***

Record 8
Computed, not measured: an optimized crystal structure of PrInGa4 at the GGA-PBE level of DFT.

Summary:
Formation energy ... -0.246 eV/atom
Calculated volume ... 130.0 Å³ per cell
Raw total energy ... -3.517 eV/atom

abc: 5.6854 5.6854 5.6854
angles: 60.00 60.00 60.00
Last column: nearest neighbours and their distance in Å.
Positions (direct):
Ga (0.6251, 0.6251, 0.1247)  6 Ga 2.84-2.85
Ga (0.6251, 0.6251, 0.6251)  6 Ga 2.84-2.85
Ga (0.1247, 0.6251, 0.6251)  6 Ga 2.84-2.85
Ga (0.6251, 0.1247, 0.6251)  6 Ga 2.84-2.85
Pr (0.2500, 0.2500, 0.2500)  12 Ga 3.33, 4 In 3.48
In (0.0000, 0.0000, 0.0000)  12 Ga 3.33, 4 Pr 3.48

***

Record 9
Computed, not measured: an optimized crystal structure of Pr11In9Ga4 at the GGA-PBE level of DFT.

Summary:
Formation energy ... -0.516 eV/atom
Calculated volume ... 673.5 Å³ per cell
Raw total energy ... -4.238 eV/atom

abc: 4.3664 12.9168 12.9168
angles: 112.41 90.00 90.00
Last column: nearest neighbours and their distance in Å.
Positions (direct):
Ga (0.5000, 0.2506, 0.4488)  3 In 2.99-3.07, 6 Pr 3.10-3.15
Ga (0.5000, 0.4488, 0.2506)  3 In 2.99-3.07, 6 Pr 3.10-3.15
Ga (0.5000, 0.7494, 0.5512)  3 In 2.99-3.07, 6 Pr 3.10-3.15
Ga (0.5000, 0.5512, 0.7494)  3 In 2.99-3.07, 6 Pr 3.10-3.15
Pr (0.0000, 0.9307, 0.5876)  2 Ga 3.10, 4 In 3.36, 2 Pr 3.38-3.46
Pr (0.0000, 0.0693, 0.4124)  2 Ga 3.10, 4 In 3.36, 2 Pr 3.38-3.46
Pr (0.0000, 0.7024, 0.7024)  4 Ga 3.14
Pr (0.0000, 0.4124, 0.0693)  2 Ga 3.10, 4 In 3.36, 2 Pr 3.38-3.46
Pr (0.0000, 0.5876, 0.9307)  2 Ga 3.10, 4 In 3.36, 2 Pr 3.38-3.46
Pr (0.0000, 0.8300, 0.1700)  8 In 3.37-3.60, 3 Pr 3.46-3.65
Pr (0.0000, 0.2976, 0.2976)  4 Ga 3.14
Pr (0.0000, 0.1700, 0.8300)  8 In 3.37-3.60, 3 Pr 3.46-3.65
Pr (0.0000, 0.6311, 0.3689)  4 Ga 3.15, 4 In 3.50
Pr (0.0000, 0.3689, 0.6311)  4 Ga 3.15, 4 In 3.50
Pr (0.0000, 0.0000, 0.0000)  8 In 3.36, 2 Pr 3.65
In (0.5000, 0.7866, 0.9353)  1 Ga 3.07, 1 In 3.19, 4 Pr 3.36
In (0.5000, 0.5000, 0.5000)  4 Ga 3.03
In (0.5000, 0.8446, 0.3735)  1 Ga 2.99, 1 In 3.13
In (0.5000, 0.9353, 0.7866)  1 Ga 3.07, 1 In 3.19, 4 Pr 3.36
In (0.5000, 0.1554, 0.6265)  1 Ga 2.99, 1 In 3.13
In (0.5000, 0.6265, 0.1554)  1 Ga 2.99, 1 In 3.13
In (0.5000, 0.3735, 0.8446)  1 Ga 2.99, 1 In 3.13
In (0.5000, 0.2134, 0.0647)  1 Ga 3.07, 1 In 3.19, 4 Pr 3.36
In (0.5000, 0.0647, 0.2134)  1 Ga 3.07, 1 In 3.19, 4 Pr 3.36

***

Record 10
Computed, not measured: an optimized crystal structure of Pr12InGa5 at the GGA-PBE level of DFT.

Summary:
Formation energy ... -0.375 eV/atom
Calculated volume ... 555.4 Å³ per cell
Raw total energy ... -4.554 eV/atom

abc: 8.9840 8.9840 8.9840
angles: 104.79 112.20 111.52
Last column: nearest neighbours and their distance in Å.
Positions (direct):
Pr (0.2940, 0.3225, 0.6165)  3 Ga 3.04-3.18
Pr (0.1969, 0.9620, 0.7651)  2 Ga 3.05-3.25
Pr (0.4557, 0.1796, 0.2761)  4 Ga 3.17-3.31
Pr (0.9036, 0.1796, 0.7239)  4 Ga 3.17-3.31
Pr (0.1969, 0.4318, 0.2349)  2 Ga 3.05-3.25
Pr (0.8031, 0.5682, 0.7651)  2 Ga 3.05-3.25
Pr (0.0964, 0.8204, 0.2761)  4 Ga 3.17-3.31
Pr (0.8031, 0.0380, 0.2349)  2 Ga 3.05-3.25
Pr (0.7060, 0.3225, 0.0285)  3 Ga 3.04-3.18
Pr (0.5443, 0.8204, 0.7239)  4 Ga 3.17-3.31
Pr (0.2940, 0.6775, 0.9715)  3 Ga 3.04-3.18
Pr (0.7060, 0.6775, 0.3835)  3 Ga 3.04-3.18
In (0.0000, 0.5000, 0.5000)  12 Pr 3.52-3.94
Ga (0.3588, 0.3588, 0.0000)  1 Ga 2.85, 6 Pr 3.05-3.18
Ga (0.6412, 0.6412, 0.0000)  1 Ga 2.85, 6 Pr 3.05-3.18
Ga (0.5000, 0.1195, 0.6195)  1 Ga 2.62
Ga (0.0000, 0.0000, 0.0000)  8 Pr 3.25-3.31, 2 Ga 3.63
Ga (0.5000, 0.8805, 0.3805)  1 Ga 2.62